1.
VASP calculation (PBE) on an optimized crystal structure of Cs2TlIn2.

a b c (Å): 7.5465 7.5465 9.1203
angles (deg): 90.00 90.00 106.91
Last column: nearest neighbours and their distance in Å.
Fractional positions:
Cs 0.8157 0.1843 0.0000  4 In 4.03-4.12, 2 Tl 4.23, 1 Cs 4.47
Cs 0.1843 0.8157 0.5000  4 In 4.03-4.12, 2 Tl 4.23, 1 Cs 4.47
Cs 0.1843 0.8157 0.0000  4 In 4.03-4.12, 2 Tl 4.23, 1 Cs 4.47
Cs 0.8157 0.1843 0.5000  4 In 4.03-4.12, 2 Tl 4.23, 1 Cs 4.47
Tl 0.3082 0.3082 0.7500  4 In 3.17-3.30
Tl 0.6918 0.6918 0.2500  4 In 3.17-3.30
In 0.3604 0.3604 0.4067  2 In 2.86-3.03, 1 Tl 3.17
In 0.6396 0.6396 0.9067  2 In 2.86-3.03, 1 Tl 3.17
In 0.3604 0.3604 0.0933  2 In 2.86-3.03, 1 Tl 3.17
In 0.6396 0.6396 0.5933  2 In 2.86-3.03, 1 Tl 3.17

Computed properties:
- Space-group type: Cmcm, No. 63
- V: 497 Å³/cell
- DOS at the Fermi energy: 0.462 states/eV/atom
- Energy relative to the elements: -0.065 eV per atom


2.
VASP calculation (PBE) on an optimized crystal structure of TbZrZn.

a b c (Å): 4.4711 4.4711 7.1924
angles (deg): 90.00 90.00 90.00
Last column: nearest neighbours and their distance in Å.
Fractional positions:
Tb 0.0000 0.5000 0.8522  1 Zn 2.90
Tb 0.5000 0.0000 0.1478  1 Zn 2.90
Zn 0.0000 0.5000 0.2551  4 Zr 2.85, 1 Tb 2.90
Zn 0.5000 0.0000 0.7449  4 Zr 2.85, 1 Tb 2.90
Zr 0.5000 0.5000 0.5000  4 Zn 2.85, 4 Zr 3.16
Zr 0.0000 0.0000 0.5000  4 Zn 2.85, 4 Zr 3.16

Computed properties:
- Space-group type: P4/nmm, No. 129
- V: 144 Å³/cell
- DOS at the Fermi energy: 1.063 states/eV/atom
- Energy relative to the elements: -0.146 eV per atom


3.
VASP calculation (PBE) on an optimized crystal structure of Li2CaAc.

a b c (Å): 3.9680 3.9680 8.1786
angles (deg): 90.00 90.00 90.00
Last column: nearest neighbours and their distance in Å.
Fractional positions:
Ac 0.5000 0.5000 0.0000  8 Li 3.53
Ca 0.5000 0.5000 0.5000  8 Li 3.42
Li 0.0000 0.0000 0.7387  4 Ca 3.42, 4 Ac 3.53
Li 0.0000 0.0000 0.2613  4 Ca 3.42, 4 Ac 3.53

Computed properties:
- Space-group type: P4/mmm, No. 123
- V: 129 Å³/cell
- DOS at the Fermi energy: 1.083 states/eV/atom
- Energy relative to the elements: 0.059 eV per atom


4.
VASP calculation (PBE) on an optimized crystal structure of MgInO3.

a b c (Å): 4.0611 4.0611 4.0611
angles (deg): 90.00 90.00 90.00
Last column: nearest neighbours and their distance in Å.
Fractional positions:
Mg 0.5000 0.5000 0.5000  12 O 2.87
O 0.0000 0.5000 0.0000  2 In 2.03
O 0.0000 0.0000 0.5000  2 In 2.03
O 0.5000 0.0000 0.0000  2 In 2.03
In 0.0000 0.0000 0.0000  6 O 2.03

Computed properties:
- Space-group type: Pm-3m, No. 221
- V: 67 Å³/cell
- DOS at the Fermi energy: 0.767 states/eV/atom
- Uncorrected formation energy: -924.7 meV/atom